No. 1
RbMoOF2 | PBEsol | optimized geometry

ρ   4.0 g/cm³
Total magnetization   3.83 μB per cell
Total DFT energy (no corrections)   -20.44 eV per cell

Cell: 4.7326 4.7326 4.3530 Å, 90.00 90.00 90.00°
Closest atoms and distances in Å follow each position.
Sites, in units of the cell vectors:
Rb (0.0000, 0.0000, 0.0000)  2 O 2.18, 4 F 2.37
Mo (0.5000, 0.5000, 0.5000)  8 F 3.22, 4 O 3.35
O (0.0000, 0.0000, 0.5000)  2 Rb 2.18
F (0.0000, 0.5000, 0.0000)  2 Rb 2.37
F (0.5000, 0.0000, 0.0000)  2 Rb 2.37



No. 2
BaTaBr2 | PBEsol | optimized geometry

ρ   7.8 g/cm³
Total magnetization   1.37 μB per cell
E above lowest polymorph   149 meV per atom
Total DFT energy (no corrections)   -37.37 eV per cell

Cell: 3.3181 6.3154 9.7258 Å, 90.00 90.00 90.00°
Closest atoms and distances in Å follow each position.
Sites, in units of the cell vectors:
Ba (0.0000, 0.0000, 0.0000)  4 Br 3.24, 6 Ba 3.32-3.57
Ba (0.5000, 0.5000, 0.0000)  4 Br 3.24, 6 Ba 3.32-3.57
Ta (0.0000, 0.0000, 0.5000)  4 Br 2.66
Ta (0.5000, 0.5000, 0.5000)  4 Br 2.66
Br (0.0000, 0.5000, 0.2863)  2 Ta 2.66
Br (0.0000, 0.5000, 0.7137)  2 Ta 2.66
Br (0.5000, 0.0000, 0.2863)  2 Ta 2.66
Br (0.5000, 0.0000, 0.7137)  2 Ta 2.66



No. 3
Be2CdSn | PBEsol | optimized geometry

ρ   6.3 g/cm³
Total magnetization   0.00 μB per cell
Total DFT energy (no corrections)   -43.85 eV per cell

Cell: 6.3898 6.3898 6.3898 Å, 90.00 90.00 90.00°
Closest atoms and distances in Å follow each position.
Sites, in units of the cell vectors:
Be (0.2500, 0.2500, 0.2500)  4 Cd 2.77, 4 Sn 2.77
Be (0.2500, 0.2500, 0.7500)  4 Cd 2.77, 4 Sn 2.77
Be (0.2500, 0.7500, 0.2500)  4 Cd 2.77, 4 Sn 2.77
Be (0.2500, 0.7500, 0.7500)  4 Cd 2.77, 4 Sn 2.77
Be (0.7500, 0.2500, 0.2500)  4 Cd 2.77, 4 Sn 2.77
Be (0.7500, 0.2500, 0.7500)  4 Cd 2.77, 4 Sn 2.77
Be (0.7500, 0.7500, 0.2500)  4 Cd 2.77, 4 Sn 2.77
Be (0.7500, 0.7500, 0.7500)  4 Cd 2.77, 4 Sn 2.77
Cd (0.0000, 0.0000, 0.0000)  8 Be 2.77
Cd (0.0000, 0.5000, 0.5000)  8 Be 2.77
Cd (0.5000, 0.0000, 0.5000)  8 Be 2.77
Cd (0.5000, 0.5000, 0.0000)  8 Be 2.77
Sn (0.0000, 0.0000, 0.5000)  8 Be 2.77
Sn (0.0000, 0.5000, 0.0000)  8 Be 2.77
Sn (0.5000, 0.0000, 0.0000)  8 Be 2.77
Sn (0.5000, 0.5000, 0.5000)  8 Be 2.77



No. 4
LiSbO3 | PBEsol | optimized geometry

ρ   4.9 g/cm³
Total magnetization   0.00 μB per cell
Total DFT energy (no corrections)   -61.43 eV per cell

Cell: 5.3683 5.3683 5.0809 Å, 96.76 96.76 123.24°
Closest atoms and distances in Å follow each position.
Sites, in units of the cell vectors:
Li (0.1522, 0.8478, 0.0000)  6 O 2.11-2.31
Li (0.8478, 0.1522, 0.0000)  6 O 2.11-2.31
Sb (0.3397, 0.6603, 0.5000)  6 O 2.00-2.01
Sb (0.6603, 0.3397, 0.5000)  6 O 2.00-2.01
O (0.0491, 0.4497, 0.7383)  2 Sb 2.00-2.01, 2 Li 2.11-2.12
O (0.2981, 0.2981, 0.2820)  2 Sb 2.00
O (0.4497, 0.0491, 0.7383)  2 Sb 2.00-2.01, 2 Li 2.11-2.12
O (0.5503, 0.9509, 0.2617)  2 Sb 2.00-2.01, 2 Li 2.11-2.12
O (0.7019, 0.7019, 0.7180)  2 Sb 2.00
O (0.9509, 0.5503, 0.2617)  2 Sb 2.00-2.01, 2 Li 2.11-2.12



No. 5
BaPt3F | PBEsol | optimized geometry

ρ   8.3 g/cm³
Total magnetization   0.73 μB per cell
Total DFT energy (no corrections)   -15.63 eV per cell

Cell: 5.2853 5.2853 5.2853 Å, 90.00 90.00 90.00°
Closest atoms and distances in Å follow each position.
Sites, in units of the cell vectors:
Ba (0.0000, 0.0000, 0.0000)  6 Pt 2.64
Pt (0.0000, 0.0000, 0.5000)  2 Ba 2.64
Pt (0.0000, 0.5000, 0.0000)  2 Ba 2.64
Pt (0.5000, 0.0000, 0.0000)  2 Ba 2.64
F (0.5000, 0.5000, 0.5000)  12 Pt 3.74



No. 6
CdInNF2 | PBEsol | optimized geometry

ρ   6.2 g/cm³
Total magnetization   0.00 μB per cell
Total DFT energy (no corrections)   -20.58 eV per cell

Cell: 4.1712 4.1712 4.2644 Å, 90.00 90.00 90.00°
Closest atoms and distances in Å follow each position.
Sites, in units of the cell vectors:
Cd (0.0000, 0.0000, 0.0000)  4 N 2.95, 8 F 2.98
In (0.5000, 0.5000, 0.5000)  4 F 2.09, 2 N 2.13
N (0.5000, 0.5000, 0.0000)  2 In 2.13
F (0.0000, 0.5000, 0.5000)  2 In 2.09
F (0.5000, 0.0000, 0.5000)  2 In 2.09



No. 7
La2ZnPb | PBEsol | optimized geometry

ρ   8.1 g/cm³
Total magnetization   0.00 μB per cell
Total DFT energy (no corrections)   -18.01 eV per cell

Cell: 5.1622 5.1622 4.2113 Å, 90.00 90.00 90.00°
Closest atoms and distances in Å follow each position.
Sites, in units of the cell vectors:
La (0.0000, 0.5000, 0.0000)  4 Pb 3.33, 4 Zn 3.33, 4 La 3.65
La (0.5000, 0.0000, 0.0000)  4 Pb 3.33, 4 Zn 3.33, 4 La 3.65
Zn (0.0000, 0.0000, 0.5000)  8 La 3.33, 4 Pb 3.65
Pb (0.5000, 0.5000, 0.5000)  8 La 3.33, 4 Zn 3.65



No. 8
FeTcTe2 | PBEsol | optimized geometry

ρ   9.6 g/cm³
Total magnetization   4.03 μB per cell
Total DFT energy (no corrections)   -49.14 eV per cell

Cell: 3.8666 3.8666 9.4845 Å, 90.00 90.00 90.00°
Closest atoms and distances in Å follow each position.
Sites, in units of the cell vectors:
Fe (0.0000, 0.0000, 0.0000)  8 Te 2.73-3.06, 4 Tc 3.06
Fe (0.5000, 0.5000, 0.5000)  8 Te 2.73-3.06, 4 Tc 3.06
Tc (0.0000, 0.5000, 0.2500)  8 Te 2.73-3.06, 4 Fe 3.06
Tc (0.5000, 0.0000, 0.7500)  8 Te 2.73-3.06, 4 Fe 3.06
Te (0.0000, 0.0000, 0.5000)  4 Fe 2.73, 4 Tc 3.06, 4 Te 3.06
Te (0.0000, 0.5000, 0.7500)  4 Tc 2.73, 4 Fe 3.06, 4 Te 3.06
Te (0.5000, 0.0000, 0.2500)  4 Tc 2.73, 4 Fe 3.06, 4 Te 3.06
Te (0.5000, 0.5000, 0.0000)  4 Fe 2.73, 4 Tc 3.06, 4 Te 3.06